No. 1
The following is a DFT calculation (GGA-PBE) of an optimized crystal structure of Si2PPb.

Calculated values
N(E_F) = 1.4 states/eV per cell
Spin magnetization = 0.000 μB/cell
SG = No. 6
Energy relative to the elements, uncorrected = 1.1 eV/f.u.

Cell: 4.2327 3.4758 6.0322 Å, 90.00 102.65 90.00°
Positions (direct):
Si: 0.0000 0.0000 0.0000
Si: 0.3959 0.5000 0.9475
P: 0.5449 0.0000 0.7148
Pb: 0.8632 0.5000 0.3810

No. 2
The following is a DFT calculation (GGA-PBE) of an optimized crystal structure of Si3PPb.

Calculated values
N(E_F) = 2.4 states/eV per cell
Spin magnetization = 0.000 μB/cell
SG = No. 221
Energy relative to the elements, uncorrected = 9.1 eV/f.u.

Cell: 5.2423 5.2423 5.2423 Å, 90.00 90.00 90.00°
Positions (direct):
Si: 0.0000 0.0000 0.5000
Si: 0.0000 0.5000 0.0000
Si: 0.5000 0.0000 0.0000
P: 0.5000 0.5000 0.5000
Pb: 0.0000 0.0000 0.0000

No. 3
The following is a DFT calculation (GGA-PBE) of an optimized crystal structure of SiP2Pb.

Calculated values
N(E_F) = 0.8 states/eV per cell
Spin magnetization = 0.000 μB/cell
SG = No. 38
Energy relative to the elements, uncorrected = 0.3 eV/f.u.

Cell: 3.3780 7.6687 7.6687 Å, 28.46 90.00 90.00°
Positions (direct):
Si: 0.0000 0.0000 0.0000
P: 0.0000 0.4079 0.4079
P: 0.5000 0.0966 0.0966
Pb: 0.5000 0.7298 0.7298

Number 3 is which compound?
SiP2Pb